(1)
First-principles (GGA-PBE) data for a relaxed structure of Nd4DyY, as listed in Alexandria.

a b c (Å): 7.5821 7.5821 7.5821
angles (deg): 46.53 46.53 46.53
Last column: nearest neighbours and their distance in Å.
Fractional coordinates of all 6 atoms:
Nd (0.6670, 0.6670, 0.6670)  1 Y 3.38, 4 Nd 3.41-3.46, 3 Dy 3.46
Nd (0.3330, 0.3330, 0.3330)  1 Y 3.38, 4 Nd 3.41-3.46, 3 Dy 3.46
Nd (0.1647, 0.1647, 0.1647)  1 Dy 3.33, 4 Nd 3.41-3.46, 3 Y 3.46
Nd (0.8353, 0.8353, 0.8353)  1 Dy 3.33, 4 Nd 3.41-3.46, 3 Y 3.46
Dy (0.0000, 0.0000, 0.0000)  8 Nd 3.33-3.46
Y (0.5000, 0.5000, 0.5000)  8 Nd 3.38-3.46

Properties
SG: R-3m
Excess energy over the best structure of this formula in the dataset in eV per atom: 0.0000
E_form in eV per formula unit: 2.33

(2)
First-principles (GGA-PBE) data for a relaxed structure of Nd8Dy2Y3, as listed in Alexandria.

a b c (Å): 5.7599 7.7463 10.9587
angles (deg): 110.74 90.01 90.00
Last column: nearest neighbours and their distance in Å.
Fractional coordinates of all 13 atoms:
Nd (0.0003, 0.6732, 0.3464)  2 Dy 3.38, 4 Nd 3.56
Nd (0.9997, 0.3268, 0.6536)  2 Dy 3.38, 4 Nd 3.56
Nd (0.0000, 0.1324, 0.2650)  2 Y 3.50, 2 Dy 3.63, 4 Nd 3.71-3.72
Nd (0.0000, 0.8676, 0.7350)  2 Y 3.50, 2 Dy 3.63, 4 Nd 3.71-3.72
Nd (0.4998, 0.5984, 0.7872)  1 Y 3.16, 1 Nd 3.17, 1 Dy 3.52
Nd (0.4998, 0.1887, 0.7872)  1 Y 3.16, 1 Nd 3.17, 1 Dy 3.53
Nd (0.5002, 0.8113, 0.2128)  1 Y 3.16, 1 Nd 3.17, 1 Dy 3.53
Nd (0.5002, 0.4016, 0.2128)  1 Y 3.16, 1 Nd 3.17, 1 Dy 3.52
Dy (0.4996, 0.2405, 0.4804)  8 Nd 3.38-3.63
Dy (0.5004, 0.7595, 0.5196)  8 Nd 3.38-3.63
Y (0.5000, 0.0000, 0.0000)  4 Nd 3.16
Y (0.0000, 0.2848, 0.9999)  3 Y 3.33-3.63, 6 Nd 3.50-3.61
Y (0.0000, 0.7152, 0.0001)  3 Y 3.33-3.63, 6 Nd 3.50-3.61

Properties
SG: P2/m
E_form in eV per formula unit: 2.61